Below is a relaxed structure of LiPdWF2, with properties calculated at the GGA+U level.

Final energy ... -3.74 eV per atom
Total magnetic moment ... 4.20 μB per cell

abc: 4.3024 5.4556 4.3024
angles: 90.00 90.00 90.00
Last column: magnetic moment on the atom in μB.
Fractional coordinates of all 5 atoms:
Li  0.5000  0.5000  0.5000  0.02
Pd  0.0000  0.0000  0.0000  0.06
W  0.0000  0.5000  0.0000  3.42
F  0.0000  0.0000  0.5000  0.01
F  0.5000  0.0000  0.0000  0.01